8
Lattice="3.299 0.000 0.000 0.000 3.299 0.000 1.650 1.650 8.236" Properties=species:S:1:pos:R:3 comment="Cr2CuB (GGA-PBE, optimized geometry)" total_magnetization_mub_per_cell=0.0 total_energy_ev_per_fu=-26.9 pbc="T T T"
Cr 2.475 2.606 6.177
Cr 0.956 2.475 2.059
Cr 2.343 0.825 2.059
Cr 4.124 3.993 6.177
Cu 0.000 0.000 0.000
Cu 3.299 1.650 4.118
B 1.650 3.299 4.118
B 1.650 1.650 0.000